1.
Material: InTc2Rh
Method: DFT, PBE-GGA
State: optimized geometry

## Properties
For the density of states at the Fermi level, the calculation gives 1.40 states/eV per atom. For the formation enthalpy at 0 K, the calculation gives 67 kJ per mole of atoms. As for the crystal system: tetragonal.

a = 7.399 Å, b = 7.399 Å, c = 5.181 Å
α = 90.00°, β = 90.00°, γ = 90.00°
Space group I-42d (No. 122)
Symmetry-distinct sites (fractional):
In1 0.000 0.000 0.000 [4 per cell]
Tc1 0.211 0.250 0.625 [8 per cell]
Rh1 0.000 0.000 0.500 [4 per cell]



2.
Material: SrZnAg2Cl6
Method: DFT, PBE-GGA
State: optimized geometry

## Properties
For the density of states at the Fermi level, the calculation gives 0.00 states/eV per atom. The value obtained for the formation energy from raw total energies is -1192 meV/atom. As for the crystal system: monoclinic.

a = 6.852 Å, b = 6.957 Å, c = 12.144 Å
α = 90.00°, β = 121.65°, γ = 90.00°
Space group P2_1/c (No. 14)
Symmetry-distinct sites (fractional):
Sr1 0.000 0.000 0.000 [2 per cell]
Zn1 0.500 0.000 0.500 [2 per cell]
Ag1 0.251 0.051 0.750 [4 per cell]
Cl1 0.142 0.096 0.269 [4 per cell]
Cl2 0.259 0.650 0.065 [4 per cell]
Cl3 0.437 0.192 0.079 [4 per cell]



3.
Material: YTaAs2I
Method: DFT, PBE-GGA
State: optimized geometry

## Properties
For the density of states at the Fermi level, the calculation gives 0.92 states/eV per atom. The value obtained for the formation energy from raw total energies is 42 meV/atom. As for the crystal system: tetragonal.

a = 4.971 Å, b = 4.971 Å, c = 5.579 Å
α = 90.00°, β = 90.00°, γ = 90.00°
Space group P4/mmm (No. 123)
Symmetry-distinct sites (fractional):
Y1 0.000 0.000 0.000 [1 per cell]
Ta1 0.500 0.500 0.500 [1 per cell]
As1 0.000 0.500 0.500 [2 per cell]
I1 0.500 0.500 0.000 [1 per cell]



4.
Material: Ca3Tl5Pb
Method: DFT, PBE-GGA
State: optimized geometry

## Properties
For the density of states at the Fermi level, the calculation gives 0.70 states/eV per atom. For the formation enthalpy at 0 K, the calculation gives -27 kJ per mole of atoms. As for the crystal system: hexagonal.

a = 9.6071 Å, b = 9.6071 Å, c = 6.6663 Å
α = 90.00°, β = 90.00°, γ = 120.00°
Space group P6_3/mcm (No. 193)
Symmetry-distinct sites (fractional):
Ca1 0.0000 0.3363 0.2500 [6 per cell]
Tl1 0.0000 0.3311 0.7500 [6 per cell]
Tl2 0.3333 0.6667 0.0000 [4 per cell]
Pb1 0.0000 0.0000 0.0000 [2 per cell]



What did the fourth record say?
Material: Ca3Tl5Pb
Method: DFT, PBE-GGA
State: optimized geometry

## Properties
For the density of states at the Fermi level, the calculation gives 0.70 states/eV per atom. For the formation enthalpy at 0 K, the calculation gives -27 kJ per mole of atoms. As for the crystal system: hexagonal.

a = 9.6071 Å, b = 9.6071 Å, c = 6.6663 Å
α = 90.00°, β = 90.00°, γ = 120.00°
Space group P6_3/mcm (No. 193)
Symmetry-distinct sites (fractional):
Ca1 0.0000 0.3363 0.2500 [6 per cell]
Tl1 0.0000 0.3311 0.7500 [6 per cell]
Tl2 0.3333 0.6667 0.0000 [4 per cell]
Pb1 0.0000 0.0000 0.0000 [2 per cell]